# 1
5
Lattice="-2.660 2.660 3.824 2.660 -2.660 3.824 2.660 2.660 -3.824" Properties=species:S:1:pos:R:3 comment="CdNi2Bi2 | Alexandria | PBE | optimized geometry" space_group="I4/mmm, No. 139" e_form_mev_per_atom=251 de_polymorph_ev_per_atom=0.141 magnetic_moment_mub_per_cell=0.0 e_tot_ev_per_atom=-3.797 pbc="T T T"
Cd 0.000 0.000 0.000
Ni 0.000 0.000 2.669
Ni 0.000 0.000 4.978
Bi 2.660 0.000 1.912
Bi 0.000 2.660 1.912



# 2
14
Lattice="8.106 0.000 0.000 0.000 8.106 0.000 0.000 0.000 4.840" Properties=species:S:1:pos:R:3 comment="Li4LaIn2 | Alexandria | PBE | optimized geometry" space_group="P4_2/mnm, No. 136" e_form_mev_per_atom=-262 magnetic_moment_mub_per_cell=0.0 e_tot_ev_per_atom=-2.842 pbc="T T T"
Li 0.829 2.902 0.000
Li 1.151 4.882 2.420
Li 2.902 0.829 0.000
Li 3.223 6.955 2.420
Li 4.882 1.151 2.420
Li 5.203 7.276 0.000
Li 6.955 3.223 2.420
Li 7.276 5.203 0.000
La 0.000 0.000 2.420
La 4.053 4.053 0.000
In 1.718 6.387 0.000
In 2.334 2.334 2.420
In 5.771 5.771 2.420
In 6.387 1.718 0.000



# 3
10
Lattice="11.681 -1.750 0.000 11.681 1.750 0.000 -2.191 0.000 8.040" Properties=species:S:1:pos:R:3 comment="LaTm3Th | Alexandria | PBE | optimized geometry" space_group="C2/m, No. 12" e_form_mev_per_atom=127 de_polymorph_ev_per_atom=0.000 magnetic_moment_mub_per_cell=0.0 e_tot_ev_per_atom=-5.025 pbc="T T T"
La 1.857 0.000 3.880
La 19.314 0.000 4.160
Tm -1.086 0.000 5.908
Tm 2.132 0.000 7.566
Tm 4.933 0.000 5.553
Tm 16.238 0.000 2.487
Tm 19.038 0.000 0.474
Tm 22.256 0.000 2.132
Th 7.909 0.000 7.244
Th 13.262 0.000 0.796



# 4
4
Lattice="3.749 0.000 0.000 0.000 3.917 0.000 -1.477 0.000 5.028" Properties=species:S:1:pos:R:3 comment="LaBe2Zn | Alexandria | PBE | optimized geometry" space_group="Pm, No. 6" e_form_mev_per_atom=138 de_polymorph_ev_per_atom=0.196 magnetic_moment_mub_per_cell=0.0 e_tot_ev_per_atom=-3.276 pbc="T T T"
La 0.000 0.000 0.000
Be 0.496 0.000 2.849
Be 0.295 1.958 3.553
Zn 2.118 1.958 2.217



# 5
4
Lattice="4.304 0.000 0.000 0.000 4.304 0.000 0.000 0.000 4.274" Properties=species:S:1:pos:R:3 comment="CdHgP2 | Alexandria | PBE | optimized geometry" space_group="P4/mmm, No. 123" e_form_mev_per_atom=604 de_polymorph_ev_per_atom=0.555 magnetic_moment_mub_per_cell=0.0 e_tot_ev_per_atom=-2.405 pbc="T T T"
Cd 0.000 0.000 0.000
Hg 2.152 2.152 0.000
P 0.000 2.152 2.137
P 2.152 0.000 2.137



# 6
12
Lattice="4.387 -7.439 0.000 4.387 7.439 0.000 -2.996 0.000 5.503" Properties=species:S:1:pos:R:3 comment="Sr5GaAs6 | Alexandria | PBE | optimized geometry" space_group="C2/m, No. 12" e_form_mev_per_atom=-807 magnetic_moment_mub_per_cell=0.0 e_tot_ev_per_atom=-4.085 pbc="T T T"
Sr 0.000 0.000 0.000
Sr 2.889 4.765 2.752
Sr 4.387 1.947 0.000
Sr 4.387 -1.947 0.000
Sr 2.889 -4.765 2.752
Ga 2.889 0.000 2.752
As 1.579 2.835 0.675
As 0.503 0.000 3.167
As 1.579 -2.835 0.675
As 4.199 2.835 4.828
As 5.276 0.000 2.336
As 4.199 -2.835 4.828